1.
## VRh3I (GGA-PBE)

Data for an optimized crystal structure of VRh3I.

POSCAR file:
```
VRh3I
1.0
4.5860 0.0000 0.0000
0.0000 4.5860 0.0000
0.0000 0.0000 4.5860
Rh V I
3 1 1
direct
0.0000 0.0000 0.5000 Rh
0.5000 0.0000 0.0000 Rh
0.0000 0.5000 0.0000 Rh
0.0000 0.0000 0.0000 V
0.5000 0.5000 0.5000 I
```

D(E_F) (states/eV per atom): 1.02
M_tot (μB per formula unit): 0.00
SG: Pm-3m
Formation energy without anion corrections (eV per atom): 0.792
Theoretical density (kg/m3): 8377

2.
## BeTl2GaO4 (GGA-PBE)

Data for an optimized crystal structure of BeTl2GaO4.

POSCAR file:
```
BeTl2GaO4
1.0
-4.7576 0.7156 -0.5818
-3.0031 -4.9615 -1.7280
-3.8368 -1.9316 8.8164
O Ga Tl Be
8 2 4 2
direct
0.8564 0.8165 0.9167 O
0.5896 0.1835 0.0833 O
0.1604 0.3165 0.4167 O
0.5232 0.3165 0.5833 O
0.4229 0.6835 0.4167 O
0.8936 0.6835 0.5833 O
0.3271 0.8165 0.0833 O
0.2268 0.1835 0.9167 O
0.7500 0.5000 0.5000 Ga
0.0000 0.0000 0.0000 Ga
0.5696 0.5000 0.8608 Tl
0.1804 0.0000 0.6392 Tl
0.9304 0.5000 0.1392 Tl
0.8196 0.0000 0.3608 Tl
0.5000 0.0000 0.0000 Be
0.2500 0.5000 0.5000 Be
```

D(E_F) (states/eV per atom): 0.51
M_tot (μB per formula unit): 0.00
SG: Fddd
Formation energy without anion corrections (eV per atom): -1.216
Theoretical density (kg/m3): 7172

3.
## Tb3BeSe6 (GGA-PBE)

Data for an optimized crystal structure of Tb3BeSe6.

POSCAR file:
```
Tb3BeSe6
1.0
-4.1424 4.7361 -0.0792
-0.6954 -0.7600 -9.0750
-6.5416 -5.6729 2.9057
Be Tb Se
2 6 12
direct
0.0377 0.1974 0.8026 Be
0.5377 0.8026 0.1974 Be
0.9777 0.0644 0.2790 Tb
0.9777 0.7210 0.9356 Tb
0.3988 0.3746 0.6254 Tb
0.8988 0.6254 0.3746 Tb
0.4777 0.2790 0.0644 Tb
0.4777 0.9356 0.7210 Tb
0.1881 0.7820 0.2180 Se
0.6881 0.2180 0.7820 Se
0.1779 0.4220 0.9032 Se
0.1559 0.0472 0.9528 Se
0.6559 0.9528 0.0472 Se
0.1968 0.3551 0.3266 Se
0.1968 0.6734 0.6449 Se
0.6779 0.9032 0.4220 Se
0.6968 0.6449 0.6734 Se
0.6968 0.3266 0.3551 Se
0.1779 0.0968 0.5780 Se
0.6779 0.5780 0.0968 Se
```

D(E_F) (states/eV per atom): 0.16
M_tot (μB per formula unit): 0.00
SG: Cmc2_1
Formation energy without anion corrections (eV per atom): -1.495
Theoretical density (kg/m3): 6209

4.
## Pm3YSi2 (GGA-PBE)

Data for an optimized crystal structure of Pm3YSi2.

POSCAR file:
```
Pm3YSi2
1.0
4.2343 0.0000 0.0000
-2.1172 9.9908 0.9077
0.0000 -4.1123 7.1954
Si Y Pm
4 2 6
direct
0.2098 0.4195 0.7296 Si
0.7902 0.5805 0.2704 Si
0.5664 0.1328 0.0279 Si
0.4336 0.8672 0.9721 Si
0.8156 0.6313 0.9247 Y
0.1844 0.3687 0.0753 Y
0.6764 0.3529 0.4323 Pm
0.9752 0.9504 0.7605 Pm
0.0248 0.0496 0.2395 Pm
0.5964 0.1929 0.6942 Pm
0.4036 0.8071 0.3058 Pm
0.3236 0.6471 0.5677 Pm
```

D(E_F) (states/eV per atom): 0.92
M_tot (μB per formula unit): 0.00
SG: C2/m
Formation energy without anion corrections (eV per atom): -0.522
Theoretical density (kg/m3): 6016

> Among the records above, which one has the lowest D(E_F)?

Tb3BeSe6

Please write out number 3 again, unchanged.
## Tb3BeSe6 (GGA-PBE)

Data for an optimized crystal structure of Tb3BeSe6.

POSCAR file:
```
Tb3BeSe6
1.0
-4.1424 4.7361 -0.0792
-0.6954 -0.7600 -9.0750
-6.5416 -5.6729 2.9057
Be Tb Se
2 6 12
direct
0.0377 0.1974 0.8026 Be
0.5377 0.8026 0.1974 Be
0.9777 0.0644 0.2790 Tb
0.9777 0.7210 0.9356 Tb
0.3988 0.3746 0.6254 Tb
0.8988 0.6254 0.3746 Tb
0.4777 0.2790 0.0644 Tb
0.4777 0.9356 0.7210 Tb
0.1881 0.7820 0.2180 Se
0.6881 0.2180 0.7820 Se
0.1779 0.4220 0.9032 Se
0.1559 0.0472 0.9528 Se
0.6559 0.9528 0.0472 Se
0.1968 0.3551 0.3266 Se
0.1968 0.6734 0.6449 Se
0.6779 0.9032 0.4220 Se
0.6968 0.6449 0.6734 Se
0.6968 0.3266 0.3551 Se
0.1779 0.0968 0.5780 Se
0.6779 0.5780 0.0968 Se
```

D(E_F) (states/eV per atom): 0.16
M_tot (μB per formula unit): 0.00
SG: Cmc2_1
Formation energy without anion corrections (eV per atom): -1.495
Theoretical density (kg/m3): 6209

> Which formula does entry 4 have?

Pm3YSi2